This record from Alexandria via LeMat-Bulk describes a relaxed Tb2Pm4Sm crystal. The functional is PBE.

Summary:
Formation enthalpy at 0 K   0.058 eV per atom
Space group   Fdd2

Unit cell a=12.577 b=12.577 c=6.831 alpha=97.03 beta=97.03 gamma=150.12
Fractional positions:
Tb  0.623  0.304  0.449
Tb  0.924  0.104  0.051
Tb  0.104  0.924  0.551
Tb  0.304  0.623  0.949
Pm  0.716  0.179  0.871
Pm  0.179  0.716  0.371
Pm  0.186  0.794  0.900
Pm  0.794  0.186  0.400
Pm  0.036  0.144  0.600
Pm  0.558  0.595  0.129
Pm  0.595  0.558  0.629
Pm  0.144  0.036  0.100
Sm  0.424  0.674  0.500
Sm  0.674  0.424  0.000



This record from Alexandria via LeMat-Bulk describes a relaxed Tb2PmSm crystal. The functional is PBE.

Summary:
Formation enthalpy at 0 K   0.026 eV per atom
Space group   Imm2

Unit cell a=3.652 b=6.835 c=6.835 alpha=55.06 beta=74.55 gamma=74.55
Fractional positions:
Tb  0.000  0.084  0.915
Tb  0.500  0.585  0.416
Pm  0.250  0.166  0.334
Sm  0.750  0.665  0.835



This record from Alexandria via LeMat-Bulk describes a relaxed TbPm2Sm7 crystal. The functional is PBE.

Summary:
Formation enthalpy at 0 K   0.156 eV per atom
Space group   Cmmm

Unit cell a=3.495 b=15.013 c=15.014 alpha=154.31 beta=90.00 gamma=90.00
Fractional positions:
Tb  0.000  0.000  0.000
Pm  0.500  0.705  0.295
Pm  0.500  0.295  0.705
Sm  0.000  0.812  0.188
Sm  0.000  0.188  0.812
Sm  0.500  0.147  0.344
Sm  0.500  0.853  0.656
Sm  0.500  0.344  0.147
Sm  0.500  0.656  0.853
Sm  0.500  0.500  0.500



This record from Alexandria via LeMat-Bulk describes a relaxed Tb2PmSm8 crystal. The functional is PBE.

Summary:
Formation enthalpy at 0 K   0.165 eV per atom
Space group   C2/m

Unit cell a=6.720 b=10.375 c=10.375 alpha=38.01 beta=59.49 gamma=59.49
Fractional positions:
Tb  0.600  0.798  0.798
Tb  0.400  0.202  0.202
Pm  0.000  0.000  0.000
Sm  0.231  0.352  0.826
Sm  0.769  0.174  0.648
Sm  0.175  0.756  0.756
Sm  0.825  0.244  0.244
Sm  0.231  0.826  0.352
Sm  0.769  0.648  0.174
Sm  0.728  0.591  0.591
Sm  0.272  0.409  0.409



| no. | M_tot (μB per cell) | energy relative to the lowest polymorph listed for this composition (kJ/mol of atoms) |
| --- | --- | --- |
| 1 | 0.0 | 0.00 |
| 2 | 0.0 | 1.31 |
| 3 | 0.0 | 0.00 |
| 4 | 0.0 | 14.47 |